(1)
Entry from Alexandria: a relaxed AcTlIn2Cl6 crystal (PBE).

It has space group R3 (No. 146, hexagonal axes), with a = 8.0281 Å, b = 8.0281 Å, c = 20.4779 Å, α = 90.00°, β = 90.00° and γ = 120.00°. The distinct sites, in fractional coordinates, are Ac at (0.0000, 0.0000, 0.0000), Tl at (0.0000, 0.0000, 0.5081), In at (0.0000, 0.0000, 0.2989), In at (0.0000, 0.0000, 0.7941), Cl at (0.0535, 0.7154, 0.0674) and Cl at (0.0637, 0.3928, 0.5724).

The formation energy (no corrections) comes out at -1499 meV/atom.



(2)
Entry from Alexandria: a relaxed AlCr2B2 crystal (PBE).

It has space group Cmmm (No. 65), with a = 2.918 Å, b = 11.041 Å, c = 2.935 Å, α = 90.00°, β = 90.00° and γ = 90.00°. The distinct sites, in fractional coordinates, are Al at (0.000, 0.000, 0.000), Cr at (0.000, 0.352, 0.500) and B at (0.000, 0.206, 0.000).

For the excess energy over the best structure of this formula in the dataset, the calculation gives 0.000 eV per atom. The formation energy comes out at -0.4760 eV per atom.



no.,mass density (Mg/m³),V (A^3/atom)
1,3.81,38.11
2,5.36,9.46